1.
KTe2PdI | GGA-PBE | relaxed

```
KTe2PdI
1.0
6.4281 0.0000 0.0000
0.0000 6.4281 0.0000
0.0000 0.0000 6.3220
I K Te Pd
1 1 2 1
direct
0.0000 0.0000 0.5000 I
0.0000 0.0000 0.0000 K
0.0000 0.5000 0.0000 Te
0.5000 0.0000 0.0000 Te
0.5000 0.5000 0.5000 Pd
```

* formation energy (no corrections): 0.93 eV/atom


2.
Tl2CoSe | GGA-PBE | relaxed

```
Tl2CoSe
1.0
7.2953 0.0226 0.0551
-2.6981 4.2722 -0.0584
1.8991 1.2142 2.9573
Co Se Tl
1 1 2
direct
0.0000 0.5000 0.5000 Co
0.5000 0.5000 0.0000 Se
0.0000 0.0000 0.0000 Tl
0.5000 0.0000 0.5000 Tl
```

* formation energy (no corrections): 0.46 eV/atom


formation energy (no corrections) of number 1 (KTe2PdI)?
0.93 eV/atom


Copy entry 1 word for word.
KTe2PdI | GGA-PBE | relaxed

```
KTe2PdI
1.0
6.4281 0.0000 0.0000
0.0000 6.4281 0.0000
0.0000 0.0000 6.3220
I K Te Pd
1 1 2 1
direct
0.0000 0.0000 0.5000 I
0.0000 0.0000 0.0000 K
0.0000 0.5000 0.0000 Te
0.5000 0.0000 0.0000 Te
0.5000 0.5000 0.5000 Pd
```

* formation energy (no corrections): 0.93 eV/atom


Among the records above, which one has the lowest formation energy (no corrections)?
Tl2CoSe